Compound: Mg2AsAu
Source: Alexandria via LeMat-Bulk
Functional: SCAN
Structure: single point on PBEsol structure Values from VASP.

```
&SYSTEM
  ibrav = 0, nat = 4, ntyp = 3
/
ATOMIC_SPECIES
Mg 24.30 Mg.upf
As 74.92 As.upf
Au 196.97 Au.upf
CELL_PARAMETERS angstrom
3.575 0.000 0.000
0.000 3.961 0.000
0.000 0.000 5.464
ATOMIC_POSITIONS crystal
Mg 0.000 0.000 0.000
Mg 0.500 0.500 0.354
As 0.000 0.000 0.503
Au 0.500 0.500 0.860
```

The space-group type is Pmm2 (25). The value obtained for the total energy is -101.20 eV for the cell shown.